(1)
DFT (meta-GGA SCAN) results for a crystal of EuZn2Ge2 relaxed with PBEsol.

Computed properties:
- ΔE_f (meV per atom) = -448
- crystal system = tetragonal

Geometry as POSCAR:
```
EuZn2Ge2
1.0
-1.404 2.774 -2.820
-1.535 -3.140 -2.325
-3.179 0.506 5.206
Zn Eu Ge
2 1 2
Cartesian
-3.027 1.549 -0.093
-3.092 -1.408 0.154
0.000 0.000 0.000
-3.563 0.248 2.018
-2.556 -0.107 -1.957
```

(2)
DFT (meta-GGA SCAN) results for a crystal of ScCoTc2 relaxed with PBEsol.

Computed properties:
- ΔE_f (meV per atom) = 102
- crystal system = tetragonal

Geometry as POSCAR:
```
ScCoTc2
1.0
-0.358 3.120 -0.086
-1.137 -0.243 -4.062
-4.040 -0.432 1.157
Sc Tc Co
1 2 1
Cartesian
-0.179 1.560 -0.043
-0.568 -0.121 -2.031
-2.020 -0.216 0.578
-2.768 1.223 -1.495
```

(3)
DFT (meta-GGA SCAN) results for a crystal of BaZr2 relaxed with PBEsol.

Computed properties:
- ΔE_f (meV per atom) = 1118
- crystal system = tetragonal

Geometry as POSCAR:
```
BaZr2
1.0
5.884 0.015 0.000
-2.303 5.415 0.000
-1.791 -2.715 4.903
Ba Zr
2 4
Cartesian
2.686 4.072 0.000
0.895 1.357 0.000
-0.874 0.577 2.452
2.665 2.138 2.452
2.047 -1.350 3.856
-0.256 4.065 1.047
```

(4)
DFT (meta-GGA SCAN) results for a crystal of CoSbW2N relaxed with PBEsol.

Computed properties:
- raw formation energy (meV per atom) = 3495
- crystal system = tetragonal

Geometry as POSCAR:
```
CoSbW2N
1.0
4.390 0.000 0.000
0.000 4.903 0.000
0.000 0.000 4.903
W Co N Sb
2 1 1 1
Cartesian
0.000 2.451 0.000
0.000 0.000 2.451
2.195 0.000 0.000
2.195 2.451 2.451
0.000 0.000 0.000
```

| no. | E_tot (eV/atom) |
| --- | --- |
| 1 | -24.2316 |
| 2 | -25.3131 |
| 3 | -32.5316 |
| 4 | -37.1517 |